# 1
! NdZn2Pd3 | the Alexandria database | PBE | optimized geometry; values from VASP
! Energy relative to the elements (eV per atom): -0.649
! V (Å³/cell): 216.7
! Crystal system: hexagonal
&SYSTEM
  ibrav = 0, nat = 12, ntyp = 3
/
ATOMIC_SPECIES
Nd 144.24 Nd.upf
Zn 65.41 Zn.upf
Pd 106.42 Pd.upf
ATOMIC_POSITIONS angstrom
Nd 0.0000 0.0000 3.1805
Nd 0.0000 0.0000 9.5415
Zn 0.0000 2.5607 0.9947
Zn 0.0000 2.5607 5.3663
Zn 2.2177 1.2804 7.3557
Zn 2.2177 1.2804 11.7273
Pd 0.0000 0.0000 0.0000
Pd 0.0000 0.0000 6.3610
Pd 0.0000 2.5607 7.9484
Pd 0.0000 2.5607 11.1346
Pd 2.2177 1.2804 1.5874
Pd 2.2177 1.2804 4.7736
CELL_PARAMETERS angstrom
4.4353 0.0000 0.0000
-2.2177 3.8411 0.0000
0.0000 0.0000 12.7220

# 2
! RbLiPuBr6 | the Alexandria database | PBE | optimized geometry; values from VASP
! V (Å³/cell): 693.9
! Crystal system: trigonal
! Energy relative to the elements, uncorrected (kcal/mol of atoms): -33.91
&SYSTEM
  ibrav = 0, nat = 18, ntyp = 4
/
ATOMIC_SPECIES
Rb 85.47 Rb.upf
Li 6.94 Li.upf
Pu 244.00 Pu.upf
Br 79.90 Br.upf
ATOMIC_POSITIONS angstrom
Rb 0.0000 0.0000 0.0000
Rb 0.0000 0.0000 7.7633
Li 0.0000 4.1476 3.8816
Li 3.5919 2.0738 11.6449
Pu 0.0000 4.1476 11.6449
Pu 3.5919 2.0738 3.8816
Br -1.3104 2.2899 10.0559
Br -2.2640 3.9416 13.2339
Br 1.3104 2.2899 13.2339
Br -0.9536 6.2113 10.0559
Br 2.6383 0.0101 2.2926
Br 1.3279 2.2798 5.4707
Br 2.2640 3.9416 10.0559
Br 0.9536 6.2113 13.2339
Br 4.5455 0.0101 5.4707
Br 2.2815 3.9315 2.2926
Br 5.8559 2.2798 2.2926
Br 4.9023 3.9315 5.4707
CELL_PARAMETERS angstrom
7.1839 0.0000 0.0000
-3.5919 6.2214 0.0000
0.0000 0.0000 15.5265